1.
BaPr2NiO5 (GGA-PBEsol, relaxed); E_form (uncorrected) = -59.24 kcal/mol of atoms; magnetic moment = 1.3 μB/f.u.
1.0
-2.2251 1.9233 2.4183
-1.6424 -5.0934 2.5398
6.3846 2.0196 1.2707
Pr O Ba Ni
2 5 1 1
Direct
0.2986 0.7986 0.5971
0.7014 0.2014 0.4029
0.5000 0.0000 0.0000
0.8578 0.0993 0.7157
0.8578 0.6164 0.7157
0.1422 0.3836 0.2843
0.1422 0.9007 0.2843
0.5000 0.5000 0.0000
0.0000 0.0000 0.0000


2.
Ba2ReNiO6 (GGA-PBEsol, relaxed); E_form (uncorrected) = -46.21 kcal/mol of atoms; magnetic moment = 2.1 μB/f.u.
1.0
-1.5116 5.4203 0.8053
-4.6031 1.2368 3.0975
0.5813 2.3808 5.1290
O Ba Re Ni
6 2 1 1
Direct
0.7393 0.2607 0.7393
0.7393 0.7393 0.2607
0.2607 0.7393 0.7393
0.2607 0.2607 0.7393
0.7393 0.2607 0.2607
0.2607 0.7393 0.2607
0.2500 0.2500 0.2500
0.7500 0.7500 0.7500
0.5000 0.5000 0.5000
0.0000 0.0000 0.0000


3.
Ba4Re2NiO12 (GGA-PBEsol, relaxed); E_form (uncorrected) = -49.93 kcal/mol of atoms; magnetic moment = 1.9 μB/f.u.
1.0
-3.7559 3.7057 2.2454
-2.4221 -1.0968 5.0805
4.9117 5.3371 6.7297
Ba O Ni Re
4 12 1 2
Direct
0.1246 0.1246 0.6261
0.2860 0.2860 0.1421
0.8742 0.8742 0.3775
0.7119 0.7119 0.8642
0.2702 0.8088 0.1122
0.6116 0.1571 0.6198
0.8574 0.3791 0.3843
0.1571 0.6116 0.6198
0.1995 0.7226 0.8783
0.8088 0.2702 0.1122
0.1995 0.1995 0.8783
0.8088 0.8088 0.1122
0.3791 0.8574 0.3843
0.7226 0.1995 0.8783
0.6116 0.6116 0.6198
0.3791 0.3791 0.3843
0.4100 0.4100 0.7700
0.5057 0.5057 0.4828
0.9993 0.9993 0.0020


4.
BaSm2NiO5 (GGA-PBEsol, relaxed); E_form (uncorrected) = -61.29 kcal/mol of atoms; magnetic moment = 1.3 μB/f.u.
1.0
-1.9055 -2.6166 -1.9188
4.9192 -1.6462 -2.6402
-0.5252 -1.6567 6.4703
O Ba Sm Ni
5 1 2 1
Direct
0.3546 0.0951 0.7092
0.0000 0.0000 0.0000
0.3546 0.6141 0.7092
0.6454 0.9049 0.2908
0.6454 0.3859 0.2908
0.0000 0.5000 0.0000
0.2016 0.2016 0.4032
0.7984 0.7984 0.5968
0.5000 0.0000 0.0000


5.
BaSrV4Ni4O16 (GGA-PBEsol, relaxed); E_form (uncorrected) = -46.45 kcal/mol of atoms; magnetic moment = 7.8 μB/f.u.
1.0
-2.7538 -2.3107 -7.3883
3.0843 -8.4447 -3.0772
-8.1051 -4.9601 0.0036
Ni O V Sr Ba
8 32 8 2 2
Direct
0.6683 0.1634 0.5000
0.1683 0.5000 0.1634
0.8317 0.5000 0.8366
0.0829 0.0000 0.3343
0.9171 0.6657 0.0000
0.5829 0.3343 0.0000
0.3317 0.8366 0.5000
0.4171 0.0000 0.6657
0.1608 0.6666 0.9909
0.3483 0.3334 0.9909
0.5676 0.1606 0.1538
0.3572 0.6685 0.6601
0.1858 0.3399 0.3315
0.8820 0.8394 0.8462
0.0834 0.8371 0.5128
0.8572 0.6601 0.6685
0.3820 0.8462 0.8394
0.6858 0.3315 0.3399
0.4038 0.5128 0.1629
0.5795 0.8371 0.4872
0.9038 0.1629 0.5128
0.2786 0.1538 0.8394
0.6608 0.9909 0.6666
0.8183 0.3334 0.0091
0.7719 0.1606 0.8462
0.9743 0.3399 0.6685
0.9333 0.4872 0.1629
0.4743 0.6685 0.3399
0.1726 0.0091 0.6666
0.0795 0.4872 0.8371
0.4827 0.3315 0.6601
0.6726 0.6666 0.0091
0.8483 0.9909 0.3334
0.2719 0.8462 0.1606
0.5834 0.5128 0.8371
0.7786 0.8394 0.1538
0.4333 0.1629 0.4872
0.0676 0.1538 0.1606
0.3183 0.0091 0.3334
0.9827 0.6601 0.3315
0.2948 0.3284 0.8334
0.7948 0.8334 0.3284
0.4566 0.6716 0.1666
0.8768 0.3284 0.1666
0.8718 0.8334 0.6716
0.3718 0.6716 0.8334
0.3768 0.1666 0.3284
0.9566 0.1666 0.6716
0.5000 0.0000 0.0000
0.0000 0.0000 0.0000
0.2500 0.5000 0.5000
0.7500 0.5000 0.5000


6.
Ba4Ta10NiO30 (GGA-PBEsol, relaxed); E_form (uncorrected) = -65.95 kcal/mol of atoms; magnetic moment = 2.0 μB/f.u.
1.0
7.7907 0.0000 0.0000
3.8953 9.1222 0.0226
3.8953 3.3981 8.4657
O Ta Ni Ba
30 10 1 4
Direct
0.5639 0.2890 0.0264
0.7672 0.2328 0.2328
0.8833 0.4774 0.2164
0.1297 0.5832 0.5832
0.8702 0.4261 0.8335
0.2678 0.7517 0.2571
0.3803 0.4826 0.7568
0.2678 0.2571 0.7517
0.8702 0.8335 0.4261
0.2311 0.2689 0.2689
0.1207 0.2890 0.0264
0.6224 0.7141 0.0411
0.7235 0.2571 0.7517
0.7040 0.5832 0.5832
0.4229 0.2164 0.4774
0.4229 0.4774 0.2164
0.5639 0.0264 0.2890
0.4524 0.8879 0.6194
0.6224 0.0411 0.7141
0.3109 0.9243 0.9243
0.3803 0.7568 0.4826
0.0402 0.6194 0.8879
0.4524 0.6194 0.8879
0.0402 0.8879 0.6194
0.0989 0.7005 0.1017
0.8405 0.9243 0.9243
0.7235 0.7517 0.2571
0.1207 0.0264 0.2890
0.0989 0.1017 0.7005
0.8833 0.2164 0.4774
0.6277 0.8079 0.4387
0.1256 0.4387 0.8079
0.3727 0.6926 0.0591
0.6277 0.4387 0.8079
0.8756 0.6926 0.0591
0.9997 0.2509 0.2509
0.1256 0.8079 0.4387
0.4985 0.2509 0.2509
0.8756 0.0591 0.6926
0.3727 0.0591 0.6926
0.2786 0.7214 0.7214
0.9484 0.0516 0.0516
0.4588 0.0412 0.0412
0.5410 0.4590 0.4590
0.0550 0.4450 0.4450


7.
BaTb2NiO5 (GGA-PBEsol, relaxed); E_form (uncorrected) = -62.95 kcal/mol of atoms; magnetic moment = 1.2 μB/f.u.
1.0
-1.1437 3.4050 0.9900
-4.8054 -2.2465 2.1750
5.5201 -1.1793 3.4219
Tb O Ba Ni
2 5 1 1
Direct
0.7982 0.2982 0.5965
0.2018 0.7018 0.4035
0.3518 0.5913 0.7036
0.0000 0.5000 0.0000
0.3518 0.1123 0.7036
0.6482 0.4087 0.2964
0.6482 0.8877 0.2964
0.0000 0.0000 0.0000
0.5000 0.5000 0.0000


8.
BaTm2NiO5 (GGA-PBEsol, relaxed); E_form (uncorrected) = -64.10 kcal/mol of atoms; magnetic moment = 1.2 μB/f.u.
1.0
3.6903 0.0000 0.0000
0.0000 5.6476 0.0000
-1.8452 -2.8238 5.5608
Ni O Tm Ba
1 5 2 1
Direct
0.0000 0.0000 0.0000
0.8490 0.6106 0.6981
0.5000 0.0000 0.0000
0.1510 0.9125 0.3019
0.8490 0.0875 0.6981
0.1510 0.3894 0.3019
0.2980 0.7980 0.5961
0.7020 0.2020 0.4039
0.5000 0.5000 0.0000


9.
Ba2NiWO6 (GGA-PBEsol, relaxed); E_form (uncorrected) = -52.97 kcal/mol of atoms; magnetic moment = 2.0 μB/f.u.
1.0
-0.1331 -3.8043 4.2143
-1.1996 -5.4368 -1.1194
4.0666 -3.9444 0.3941
O W Ni Ba
6 1 1 2
Direct
0.7590 0.7590 0.2410
0.2410 0.7590 0.7590
0.2410 0.7590 0.2410
0.7590 0.2410 0.7590
0.2410 0.2410 0.7590
0.7590 0.2410 0.2410
0.0000 0.0000 0.0000
0.5000 0.5000 0.5000
0.7500 0.7500 0.7500
0.2500 0.2500 0.2500


10.
Ba2YNi3O7 (GGA-PBEsol, relaxed); E_form (uncorrected) = -44.23 kcal/mol of atoms; magnetic moment = 1.8 μB/f.u.
1.0
3.8114 0.0000 0.0000
0.0000 3.7685 0.0000
0.0000 0.0000 11.3995
O Ba Ni Y
7 2 3 1
Direct
0.5000 0.5000 0.8753
0.0000 0.5000 0.3342
0.0000 0.0000 0.8775
0.0000 0.5000 0.6658
0.0000 0.0000 0.1225
0.5000 0.5000 0.1247
0.0000 0.0000 0.5000
0.5000 0.0000 0.6798
0.5000 0.0000 0.3202
0.0000 0.5000 0.5000
0.0000 0.5000 0.1550
0.0000 0.5000 0.8450
0.5000 0.0000 0.0000


11.
Ba2NiOs (GGA-PBEsol, relaxed); magnetic moment = 1.6 μB/f.u.; E_form = 4.11 eV/f.u.
1.0
5.1031 0.0000 0.0000
2.5516 4.4194 0.0000
2.5516 1.4731 4.1667
Ba Os Ni
2 1 1
Direct
0.0000 0.0000 0.0000
0.7500 0.7500 0.7500
0.2500 0.2500 0.2500
0.5000 0.5000 0.5000


12.
BaNi2Os (GGA-PBEsol, relaxed); magnetic moment = 0.0 μB/f.u.; E_form = 3.59 eV/f.u.
1.0
-3.9872 -0.8109 -0.6789
-2.5919 -1.1199 4.0277
-3.0730 3.6704 1.1312
Os Ni Ba
1 2 1
Direct
0.5000 0.0000 0.0000
0.1695 0.8305 0.8305
0.8305 0.1695 0.1695
0.0000 0.5000 0.5000